(1)
An optimized crystal structure of SrReN3. Source: the Alexandria database, functional PBE.

E_form (uncorrected) = 62 meV/atom
DFT total energy = -7.759 eV/atom
size of the total moment = 0.00 μB/atom
V = 21.41 A^3/atom

```
5
Lattice="2.9708 0.0000 0.0000 0.0000 3.3403 -5.3931 0.0000 3.3403 5.3931" Properties=species:S:1:pos:R:3 pbc="T T T"
Re 0.0000 3.3403 0.9674
N 1.4854 2.0701 0.5204
N 1.4854 4.6105 0.5204
N 0.0000 3.3403 2.7226
Sr 1.4854 3.3403 4.6742
```

(2)
An optimized crystal structure of ZrZnPt. Source: the Alexandria database, functional PBE.

DFT total energy = -5.963 eV/atom
size of the total moment = 0.00 μB/atom
ΔE_f = -0.676 eV per atom
V = 17.47 A^3/atom

```
3
Lattice="5.0137 -0.0144 0.0164 3.8291 3.2371 0.0191 1.1846 0.4300 3.2229" Properties=species:S:1:pos:R:3 pbc="T T T"
Pt 8.8067 3.2095 0.0505
Zn 3.7889 1.3797 2.1390
Zr 6.2746 2.2861 1.1044
```

(3)
An optimized crystal structure of ZrVAs. Source: the Alexandria database, functional PBE.

DFT total energy = -7.711 eV/atom
size of the total moment = 0.74 μB/atom
ΔE_f = -0.272 eV per atom
V = 17.93 A^3/atom

```
3
Lattice="-3.1219 -1.2010 -0.3508 1.4641 -3.0230 -2.6807 -0.1761 -0.7757 4.2232" Properties=species:S:1:pos:R:3 pbc="T T T"
As -0.5207 -0.2003 -0.0585
Zr -1.1639 -3.0745 -0.6133
V -0.1493 -1.7248 1.8635
```

| no. | Fermi-level density of states (states/eV per cell) |
| --- | --- |
| 1 | 0.00 |
| 2 | 1.71 |
| 3 | 3.17 |